Computed, not measured: an optimized crystal structure of HfBeAu at the PBE level of DFT.

a = 5.8722 Å, b = 5.8722 Å, c = 5.8722 Å
α = 90.00°, β = 90.00°, γ = 90.00°
With the nearest neighbours (Å) after each atom.
Sites, in units of the cell vectors:
Hf 0.0000 0.0000 0.0000  4 Be 2.54
Hf 0.0000 0.5000 0.5000  4 Be 2.54
Hf 0.5000 0.0000 0.5000  4 Be 2.54
Hf 0.5000 0.5000 0.0000  4 Be 2.54
Be 0.2500 0.2500 0.7500  4 Hf 2.54, 4 Au 2.54
Be 0.2500 0.7500 0.2500  4 Hf 2.54, 4 Au 2.54
Be 0.7500 0.2500 0.2500  4 Hf 2.54, 4 Au 2.54
Be 0.7500 0.7500 0.7500  4 Hf 2.54, 4 Au 2.54
Au 0.0000 0.0000 0.5000  4 Be 2.54
Au 0.0000 0.5000 0.0000  4 Be 2.54
Au 0.5000 0.0000 0.0000  4 Be 2.54
Au 0.5000 0.5000 0.5000  4 Be 2.54

Computed, not measured: an optimized crystal structure of RbHfBeAu at the PBE level of DFT.

a = 6.7997 Å, b = 6.7997 Å, c = 6.7997 Å
α = 90.00°, β = 90.00°, γ = 90.00°
With the nearest neighbours (Å) after each atom.
Sites, in units of the cell vectors:
Rb 0.0000 0.0000 0.0000  4 Hf 2.94, 4 Be 2.94
Rb 0.0000 0.5000 0.5000  4 Hf 2.94, 4 Be 2.94
Rb 0.5000 0.0000 0.5000  4 Hf 2.94, 4 Be 2.94
Rb 0.5000 0.5000 0.0000  4 Hf 2.94, 4 Be 2.94
Hf 0.2500 0.2500 0.2500  4 Rb 2.94, 4 Au 2.94
Hf 0.2500 0.7500 0.7500  4 Rb 2.94, 4 Au 2.94
Hf 0.7500 0.2500 0.7500  4 Rb 2.94, 4 Au 2.94
Hf 0.7500 0.7500 0.2500  4 Rb 2.94, 4 Au 2.94
Be 0.2500 0.2500 0.7500  4 Rb 2.94, 4 Au 2.94
Be 0.2500 0.7500 0.2500  4 Rb 2.94, 4 Au 2.94
Be 0.7500 0.2500 0.2500  4 Rb 2.94, 4 Au 2.94
Be 0.7500 0.7500 0.7500  4 Rb 2.94, 4 Au 2.94
Au 0.0000 0.0000 0.5000  4 Be 2.94, 4 Hf 2.94
Au 0.0000 0.5000 0.0000  4 Be 2.94, 4 Hf 2.94
Au 0.5000 0.0000 0.0000  4 Be 2.94, 4 Hf 2.94
Au 0.5000 0.5000 0.5000  4 Be 2.94, 4 Hf 2.94

The evaluated excess energy over the best structure of this formula in the dataset for the records listed, in turn: 0.0 0.0 meV/atom.